(1)
Density functional theory data (PBE-GGA) for a relaxed structure of DyHo2Hg.

Geometry as POSCAR:
```
DyHo2Hg
1.0
-4.464 1.278 -2.116
-2.969 -5.093 3.188
-0.582 5.101 4.308
Dy Hg Ho
2 2 4
Direct
0.250 0.571 0.345
0.750 0.345 0.571
0.750 0.427 0.071
0.250 0.071 0.427
0.750 0.929 0.155
0.750 0.860 0.642
0.250 0.642 0.860
0.250 0.155 0.929
```

Computed properties:
The value obtained for the total magnetization is 0.02 μB/f.u. The calculated formation energy comes out at -200 meV per atom. Its space-group type is No. 40. For the distance to the lowest polymorph of the same formula, the calculation gives 0 meV/atom.



(2)
Density functional theory data (PBE-GGA) for a relaxed structure of Dy2HoHg.

Geometry as POSCAR:
```
Dy2HoHg
1.0
5.417 0.000 0.000
0.000 3.655 5.608
0.000 -3.655 5.608
Dy Hg Ho
4 2 2
Direct
0.000 0.152 0.152
0.500 0.846 0.341
0.500 0.341 0.846
0.500 0.850 0.850
0.000 0.655 0.157
0.000 0.157 0.655
0.500 0.351 0.351
0.000 0.649 0.649
```

Computed properties:
The value obtained for the total magnetization is 0.02 μB/f.u. The calculated formation energy comes out at -105 meV per atom. Its space-group type is No. 38. For the distance to the lowest polymorph of the same formula, the calculation gives 94 meV/atom.



(3)
Density functional theory data (PBE-GGA) for a relaxed structure of DyHo2Hg.

Geometry as POSCAR:
```
DyHo2Hg
1.0
-1.891 -4.209 5.054
0.756 -2.410 -6.361
5.190 -1.093 1.031
Dy Hg Ho
2 2 4
Direct
0.828 0.172 0.250
0.172 0.828 0.750
0.334 0.666 0.250
0.666 0.334 0.750
0.343 0.172 0.250
0.828 0.657 0.250
0.172 0.343 0.750
0.657 0.828 0.750
```

Computed properties:
The value obtained for the total magnetization is 0.02 μB/f.u. The calculated formation energy comes out at -166 meV per atom. Its space-group type is No. 63. For the distance to the lowest polymorph of the same formula, the calculation gives 34 meV/atom.



(4)
Density functional theory data (PBE-GGA) for a relaxed structure of Dy2HoHg.

Geometry as POSCAR:
```
Dy2HoHg
1.0
0.125 -0.628 6.829
-0.966 -5.525 -3.948
5.323 -0.808 -0.172
Dy Hg Ho
4 2 2
Direct
0.344 0.174 0.250
0.826 0.656 0.250
0.174 0.344 0.750
0.656 0.826 0.750
0.332 0.668 0.250
0.668 0.332 0.750
0.827 0.173 0.250
0.173 0.827 0.750
```

Computed properties:
The value obtained for the total magnetization is 0.04 μB/f.u. The calculated formation energy comes out at -165 meV per atom. Its space-group type is No. 63. For the distance to the lowest polymorph of the same formula, the calculation gives 34 meV/atom.



(5)
Density functional theory data (PBE-GGA) for a relaxed structure of Dy2HoHg.

Geometry as POSCAR:
```
Dy2HoHg
1.0
-3.937 2.678 1.849
-4.097 -5.188 -1.210
2.208 -1.074 6.256
Dy Hg Ho
4 2 2
Direct
0.250 0.845 0.072
0.250 0.361 0.140
0.750 0.140 0.361
0.750 0.072 0.845
0.250 0.925 0.574
0.750 0.574 0.925
0.750 0.655 0.428
0.250 0.428 0.655
```

Computed properties:
The value obtained for the total magnetization is 0.02 μB/f.u. The calculated formation energy comes out at -199 meV per atom. Its space-group type is No. 40. For the distance to the lowest polymorph of the same formula, the calculation gives 0 meV/atom.



(6)
Density functional theory data (PBE-GGA) for a relaxed structure of Dy2Ho5Hg.

Geometry as POSCAR:
```
Dy2Ho5Hg
1.0
5.520 0.000 0.000
0.000 3.512 6.085
0.000 -3.512 6.085
Dy Hg Ho
2 1 5
Direct
0.500 0.330 0.330
0.000 0.671 0.671
0.000 0.166 0.166
0.000 0.672 0.158
0.500 0.839 0.330
0.000 0.158 0.672
0.500 0.834 0.834
0.500 0.330 0.839
```

Computed properties:
The value obtained for the total magnetization is 0.94 μB/f.u. The calculated formation energy comes out at -39 meV per atom. Its space-group type is No. 38.



(7)
Density functional theory data (PBE-GGA) for a relaxed structure of Dy2HoMg3In2Hg.

Geometry as POSCAR:
```
Dy2HoMg3In2Hg
1.0
4.612 0.000 0.000
0.000 6.490 3.756
0.000 -6.490 3.756
Dy Hg Ho In Mg
2 1 1 2 3
Direct
0.000 0.422 0.000
0.000 0.000 0.422
0.000 0.999 0.999
0.000 0.578 0.578
0.500 0.667 0.334
0.500 0.334 0.667
0.500 0.761 0.000
0.500 0.239 0.239
0.500 0.000 0.761
```

Computed properties:
The value obtained for the total magnetization is 0.00 μB/f.u. Its space-group type is No. 38. The uncorrected energy is -3.102 eV per atom.



(8)
Density functional theory data (PBE-GGA) for a relaxed structure of DyHo2Mg3Tl2Hg.

Geometry as POSCAR:
```
DyHo2Mg3Tl2Hg
1.0
4.591 0.000 0.000
0.000 6.505 3.749
0.000 -6.505 3.749
Dy Hg Ho Mg Tl
1 1 2 3 2
Direct
0.000 0.578 0.578
0.000 0.001 0.001
0.000 0.000 0.421
0.000 0.421 0.000
0.500 0.761 0.000
0.500 0.239 0.239
0.500 0.000 0.761
0.500 0.667 0.333
0.500 0.333 0.667
```

Computed properties:
The value obtained for the total magnetization is 0.00 μB/f.u. Its space-group type is No. 38. The uncorrected energy is -2.970 eV per atom.



(9)
Density functional theory data (PBE-GGA) for a relaxed structure of Dy3Mg3In2Hg.

Geometry as POSCAR:
```
Dy3Mg3In2Hg
1.0
-7.407 -1.076 -0.435
4.353 -5.162 3.257
-0.546 2.110 4.074
Dy Hg In Mg
3 1 2 3
Direct
0.580 0.000 0.000
0.420 0.420 0.000
0.000 0.580 0.000
0.000 0.000 0.000
0.667 0.333 0.500
0.333 0.667 0.500
0.240 0.000 0.500
0.000 0.240 0.500
0.760 0.760 0.500
```

Computed properties:
The value obtained for the total magnetization is 0.00 μB/f.u. Its space-group type is No. 189. The uncorrected energy is -3.107 eV per atom.



(10)
Density functional theory data (PBE-GGA) for a relaxed structure of Nd2DyMg3In2Hg.

Geometry as POSCAR:
```
Nd2DyMg3In2Hg
1.0
4.689 0.000 0.000
0.000 6.558 3.838
0.000 -6.558 3.838
Dy Hg In Mg Nd
1 1 2 3 2
Direct
0.000 0.584 0.584
0.000 0.992 0.992
0.500 0.666 0.339
0.500 0.339 0.666
0.500 0.761 0.000
0.500 0.238 0.238
0.500 0.000 0.761
0.000 0.419 0.002
0.000 0.002 0.419
```

Computed properties:
The value obtained for the total magnetization is 0.01 μB/f.u. Its space-group type is No. 38. The uncorrected energy is -3.158 eV per atom.



(11)
Density functional theory data (PBE-GGA) for a relaxed structure of DyTm2Mg3In2Hg.

Geometry as POSCAR:
```
DyTm2Mg3In2Hg
1.0
4.598 0.000 0.000
0.000 6.484 3.719
0.000 -6.484 3.719
Dy Hg In Mg Tm
1 1 2 3 2
Direct
0.000 0.423 0.423
0.000 0.997 0.997
0.500 0.669 0.333
0.500 0.333 0.669
0.500 0.239 0.000
0.500 0.000 0.239
0.500 0.761 0.761
0.000 0.578 0.001
0.000 0.001 0.578
```

Computed properties:
The value obtained for the total magnetization is 0.00 μB/f.u. Its space-group type is No. 38. The uncorrected energy is -3.057 eV per atom.



(12)
Density functional theory data (PBE-GGA) for a relaxed structure of Dy2HgIr.

Geometry as POSCAR:
```
Dy2HgIr
1.0
-1.327 -2.405 2.165
-0.962 -1.941 -2.746
6.612 -3.503 0.159
Dy Hg Ir
2 1 1
Direct
0.000 0.000 0.221
0.000 0.000 0.779
0.500 0.500 0.500
0.500 0.500 0.000
```

Computed properties:
The value obtained for the total magnetization is 0.00 μB/f.u. The calculated formation energy comes out at -685 meV per atom. Its space-group type is No. 123.



(13)
Density functional theory data (PBE-GGA) for a relaxed structure of Dy4Hg5Ir2.

Geometry as POSCAR:
```
Dy4Hg5Ir2
1.0
-3.957 6.568 -0.281
-2.682 -1.690 -1.739
-3.661 -2.800 8.366
Dy Hg Ir
4 5 2
Direct
0.286 0.500 0.061
0.681 0.500 0.351
0.319 0.500 0.649
0.714 0.500 0.939
0.960 0.000 0.167
0.331 0.000 0.357
0.000 0.000 0.500
0.669 0.000 0.643
0.040 0.000 0.833
0.579 0.000 0.140
0.421 0.000 0.860
```

Computed properties:
The value obtained for the total magnetization is 0.00 μB/f.u. The calculated formation energy comes out at -558 meV per atom. Its space-group type is No. 10.



(14)
Density functional theory data (PBE-GGA) for a relaxed structure of KDyHg.

Geometry as POSCAR:
```
KDyHg
1.0
0.000 3.742 3.742
3.742 0.000 3.742
3.742 3.742 0.000
Dy Hg K
1 1 1
Direct
0.500 0.500 0.500
0.000 0.000 0.000
0.250 0.250 0.250
```

Computed properties:
The value obtained for the total magnetization is 0.50 μB/f.u. Its space-group type is No. 216. The uncorrected energy is -1.241 eV per atom.



(15)
Density functional theory data (PBE-GGA) for a relaxed structure of KDyHgS3.

Geometry as POSCAR:
```
KDyHgS3
1.0
-4.887 -9.006 6.524
2.271 -2.735 -2.074
9.000 1.154 8.334
Dy Hg K S
4 4 4 12
Direct
0.458 0.500 0.164
0.958 0.500 0.336
0.042 0.000 0.664
0.542 0.000 0.836
0.737 0.000 0.208
0.237 0.000 0.292
0.763 0.500 0.708
0.263 0.500 0.792
0.853 0.500 0.002
0.353 0.500 0.498
0.647 0.000 0.502
0.147 0.000 0.998
0.583 0.000 0.071
0.236 0.500 0.161
0.950 0.000 0.180
0.450 0.000 0.320
0.736 0.500 0.339
0.083 0.000 0.429
0.917 0.500 0.571
0.264 0.000 0.661
0.550 0.500 0.680
0.050 0.500 0.820
0.764 0.000 0.839
0.417 0.500 0.929
```

Computed properties:
The value obtained for the total magnetization is 0.00 μB/f.u. Its space-group type is No. 62. The uncorrected energy is -4.260 eV per atom.



(16)
Density functional theory data (PBE-GGA) for a relaxed structure of KDyHgSe3.

Geometry as POSCAR:
```
KDyHgSe3
1.0
9.236 -2.102 0.000
9.236 2.102 0.000
-2.051 0.000 9.050
Dy Hg K Se
2 2 2 6
Direct
0.173 0.173 0.081
0.827 0.827 0.919
0.519 0.519 0.223
0.481 0.481 0.777
0.859 0.859 0.430
0.141 0.141 0.570
0.000 0.000 0.000
0.330 0.330 0.131
0.672 0.672 0.291
0.500 0.500 0.500
0.328 0.328 0.709
0.670 0.670 0.869
```

Computed properties:
The value obtained for the total magnetization is 0.00 μB/f.u. Its space-group type is No. 12. The uncorrected energy is -3.881 eV per atom.



(17)
Density functional theory data (PBE-GGA) for a relaxed structure of KDyHgSe3.

Geometry as POSCAR:
```
KDyHgSe3
1.0
8.715 0.000 0.000
0.000 4.262 0.000
-3.073 0.000 9.900
Dy Hg K Se
2 2 2 6
Direct
0.823 0.750 0.366
0.177 0.250 0.634
0.589 0.250 0.115
0.411 0.750 0.885
0.269 0.750 0.242
0.731 0.250 0.758
0.747 0.750 0.051
0.041 0.250 0.352
0.593 0.250 0.369
0.407 0.750 0.631
0.959 0.750 0.648
0.253 0.250 0.949
```

Computed properties:
The value obtained for the total magnetization is 0.01 μB/f.u. Its space-group type is No. 11. The uncorrected energy is -3.934 eV per atom.



(18)
Density functional theory data (PBE-GGA) for a relaxed structure of LaDyHg6.

Geometry as POSCAR:
```
LaDyHg6
1.0
6.681 0.000 0.000
-3.340 5.786 0.000
0.000 0.000 5.055
Dy Hg La
1 6 1
Direct
0.000 0.000 0.000
0.505 0.011 0.000
0.505 0.495 0.000
0.989 0.495 0.000
0.332 0.166 0.500
0.834 0.166 0.500
0.834 0.668 0.500
0.333 0.667 0.500
```

Computed properties:
The value obtained for the total magnetization is 0.00 μB/f.u. The calculated formation energy comes out at -376 meV per atom. Its space-group type is No. 187.



(19)
Density functional theory data (PBE-GGA) for a relaxed structure of LaDyHg.

Geometry as POSCAR:
```
LaDyHg
1.0
0.000 3.692 3.692
3.692 0.000 3.692
3.692 3.692 0.000
Dy Hg La
1 1 1
Direct
0.250 0.250 0.250
0.000 0.000 0.000
0.750 0.750 0.750
```

Computed properties:
The value obtained for the total magnetization is 0.20 μB/f.u. The calculated formation energy comes out at -107 meV per atom. Its space-group type is No. 216. For the distance to the lowest polymorph of the same formula, the calculation gives 0 meV/atom.



(20)
Density functional theory data (PBE-GGA) for a relaxed structure of LiDyHgO3.

Geometry as POSCAR:
```
LiDyHgO3
1.0
4.988 -1.697 0.000
4.988 1.697 0.000
0.000 0.000 8.917
Dy Hg Li O
2 2 2 6
Direct
0.000 0.000 0.000
0.000 0.000 0.500
0.247 0.247 0.250
0.753 0.753 0.750
0.521 0.521 0.250
0.479 0.479 0.750
0.628 0.628 0.081
0.924 0.924 0.250
0.628 0.628 0.419
0.372 0.372 0.581
0.076 0.076 0.750
0.372 0.372 0.919
```

Computed properties:
The value obtained for the total magnetization is 0.00 μB/f.u. Its space-group type is No. 63. The uncorrected energy is -5.454 eV per atom.